(w)
A plane-wave DFT calculation with meta-GGA SCAN was carried out for a PBEsol-optimized structure of ZnHg3.

Properties
Spin magnetization ... 0.0 μB per cell

Unit cell a=3.361 b=5.552 c=5.552 alpha=60.70 beta=72.38 gamma=72.38
Sites, in units of the cell vectors:
1 Hg 0.500 0.893 0.107
2 Hg 0.718 0.269 0.296
3 Hg 0.282 0.704 0.731
4 Zn 0.000 0.301 0.699

(x)
A plane-wave DFT calculation with meta-GGA SCAN was carried out for a PBEsol-optimized structure of ZnHg3.

Properties
Spin magnetization ... 0.0 μB per cell

Unit cell a=3.455 b=4.383 c=5.633 alpha=90.00 beta=90.00 gamma=90.00
Sites, in units of the cell vectors:
1 Zn 0.000 0.500 0.354
2 Hg 0.500 0.000 0.470
3 Hg 0.000 0.000 0.016
4 Hg 0.500 0.500 0.827

Compare the structures above. Which one is the most stable? (w) is.